[1]
A relaxed structure of InSnGe2W. Source: Alexandria via LeMat-Bulk, functional PBE.

It has space group P4/mmm (No. 123), with a = 4.9100 Å, b = 4.9100 Å, c = 5.4030 Å, α = 90.00°, β = 90.00° and γ = 90.00°. The distinct sites, in fractional coordinates, are In at (0.0000, 0.0000, 0.0000), Sn at (0.5000, 0.5000, 0.0000), Ge at (0.0000, 0.5000, 0.5000) and W at (0.0000, 0.0000, 0.5000).

The electronic total energy comes out at -26.2 eV/cell. The calculation puts the mass density at 7.173 g/cm3. The value obtained for the calculated formation energy is 260.7 kJ/mol of formula units.



[2]
A relaxed structure of Tm2LuNi. Source: Alexandria via LeMat-Bulk, functional PBE.

It has space group P4/mmm (No. 123), with a = 3.3967 Å, b = 3.3967 Å, c = 8.3957 Å, α = 90.00°, β = 90.00° and γ = 90.00°. The distinct sites, in fractional coordinates, are Tm at (0.0000, 0.0000, 0.1900), Lu at (0.5000, 0.5000, 0.5000) and Ni at (0.5000, 0.5000, 0.0000).

The electronic total energy comes out at -20.0 eV/cell. The calculation puts the mass density at 9.798 g/cm3. The value obtained for the offset from the most stable computed form is 0.0 kJ/mol of atoms. The value obtained for the calculated formation energy is -72.6 kJ/mol of formula units.



[3]
A relaxed structure of Tb3DyCu4. Source: Alexandria via LeMat-Bulk, functional PBE.

It has space group Pmmm (No. 47), with a = 3.4666 Å, b = 4.9301 Å, c = 9.8585 Å, α = 90.00°, β = 90.00° and γ = 90.00°. The distinct sites, in fractional coordinates, are Tb at (0.0000, 0.0000, 0.0000), Tb at (0.0000, 0.5000, 0.2503), Dy at (0.0000, 0.0000, 0.5000), Cu at (0.5000, 0.0000, 0.2508), Cu at (0.5000, 0.5000, 0.0000) and Cu at (0.5000, 0.5000, 0.5000).

The electronic total energy comes out at -36.8 eV/cell. The calculation puts the mass density at 8.805 g/cm3. The value obtained for the calculated formation energy is -186.6 kJ/mol of formula units.